No. 1
VASP calculation (PBE-GGA) on CdRe2Si after structural relaxation.

Magnetic moment: 0.0 μB per formula unit
Polymorph energy (0 for the lowest one): 0.432 eV per atom
Total energy: -7.16 eV/atom
Formation energy from raw total energies: 0.6493 eV per atom
D(E_F): 4.189 states/eV/cell
Space group: No. 225

Cell: 4.411 4.411 4.411 Å, 60.00 60.00 60.00°
Fractional positions:
Re 0.250 0.250 0.250
Re 0.750 0.750 0.750
Si 0.000 0.000 0.000
Cd 0.500 0.500 0.500



No. 2
VASP calculation (PBE-GGA) on CdRe2Si after structural relaxation.

Magnetic moment: 0.0 μB per formula unit
Polymorph energy (0 for the lowest one): 0.512 eV per atom
Total energy: -7.08 eV/atom
Formation energy from raw total energies: 0.7292 eV per atom
D(E_F): 3.091 states/eV/cell
Space group: No. 65

Cell: 4.918 4.918 2.672 Å, 90.00 90.00 105.57°
Fractional positions:
Cd 0.000 0.500 0.500
Re 0.000 0.000 0.000
Re 0.500 0.500 0.000
Si 0.500 0.000 0.500



No. 3
VASP calculation (PBE-GGA) on CdRe2Si after structural relaxation.

Magnetic moment: 0.0 μB per formula unit
Polymorph energy (0 for the lowest one): 0.021 eV per atom
Total energy: -7.57 eV/atom
Formation energy from raw total energies: 0.2383 eV per atom
D(E_F): 1.897 states/eV/cell
Space group: No. 123

Cell: 2.998 2.998 6.992 Å, 90.00 90.00 90.00°
Fractional positions:
Cd 0.500 0.500 0.750
Re 0.000 0.000 0.058
Re 0.000 0.000 0.442
Si 0.500 0.500 0.250